No. 1
Compound: TaAl2Mo
Source: Alexandria
Functional: GGA-PBEsol
Structure: relaxed

Output
symmetry = No. 47
distance to the lowest polymorph of the same formula = 0.009 eV/atom
crystal system = orthorhombic

a b c (Å): 3.3945 4.2863 4.2901
angles (deg): 90.00 90.00 90.00
With the nearest neighbours (Å) after each atom.
Fractional positions:
Al: 0.0000 0.0000 0.0000  4 Mo 2.73, 4 Al 2.74, 4 Ta 3.03
Al: 0.5000 0.0000 0.5000  4 Ta 2.73, 4 Al 2.74, 4 Mo 3.03
Mo: 0.5000 0.5000 0.0000  8 Al 2.73-3.03, 4 Ta 2.74
Ta: 0.0000 0.5000 0.5000  8 Al 2.73-3.03, 4 Mo 2.74

***

No. 2
Compound: Tb6Al43Mo4
Source: Alexandria
Functional: GGA-PBEsol
Structure: relaxed

Output
symmetry = No. 193
crystal system = hexagonal

a b c (Å): 10.9207 10.9207 17.6345
angles (deg): 90.00 90.00 120.00
With the nearest neighbours (Å) after each atom.
Fractional positions:
Al: 0.0000 0.1591 0.8851  2 Mo 2.67-2.68, 7 Al 2.71-2.91
Al: 0.1591 0.0000 0.6149  2 Mo 2.67-2.68, 7 Al 2.71-2.91
Al: 0.2362 0.3935 0.6640  1 Mo 2.70, 7 Al 2.70-2.98
Al: 0.5511 0.4036 0.2500  1 Mo 2.65, 7 Al 2.73-2.82
Al: 0.8409 0.0000 0.1149  2 Mo 2.67-2.68, 7 Al 2.71-2.91
Al: 0.0000 0.8529 0.7500  2 Mo 2.56, 6 Al 2.78-2.81
Tb: 0.4688 0.0000 0.9050  15 Al 3.05-3.40
Al: 0.4489 0.8525 0.2500  1 Mo 2.65, 7 Al 2.73-2.82
Al: 0.1475 0.5511 0.7500  1 Mo 2.65, 7 Al 2.73-2.82
Al: 0.0000 0.8409 0.1149  2 Mo 2.67-2.68, 7 Al 2.71-2.91
Al: 0.4036 0.5511 0.2500  1 Mo 2.65, 7 Al 2.73-2.82
Al: 0.2536 0.0000 0.0301  9 Al 2.71-2.97, 1 Mo 2.82
Al: 0.7530 0.5060 0.5000  6 Al 2.71-2.83
Al: 0.7638 0.6065 0.3360  1 Mo 2.70, 7 Al 2.70-2.98
Al: 0.7530 0.2470 0.0000  6 Al 2.71-2.83
Tb: 0.4688 0.4688 0.4050  15 Al 3.05-3.40
Al: 0.5060 0.7530 0.0000  6 Al 2.71-2.83
Al: 0.3935 0.2362 0.6640  1 Mo 2.70, 7 Al 2.70-2.98
Tb: 0.0000 0.4688 0.9050  15 Al 3.05-3.40
Mo: 0.0000 0.2706 0.7500  10 Al 2.56-2.70
Al: 0.8427 0.6065 0.6640  1 Mo 2.70, 7 Al 2.70-2.98
Al: 0.4036 0.8525 0.7500  1 Mo 2.65, 7 Al 2.73-2.82
Al: 0.2470 0.4940 0.0000  6 Al 2.71-2.83
Tb: 0.5312 0.0000 0.4050  15 Al 3.05-3.40
Al: 0.6667 0.3333 0.8744  9 Al 2.70-2.82
Al: 0.0000 0.2536 0.4699  9 Al 2.71-2.97, 1 Mo 2.82
Al: 0.2362 0.3935 0.8360  1 Mo 2.70, 7 Al 2.70-2.98
Al: 0.7530 0.5060 0.0000  6 Al 2.71-2.83
Mo: 0.0000 0.0000 0.0000  12 Al 2.67-2.82
Al: 0.7530 0.2470 0.5000  6 Al 2.71-2.83
Al: 0.1573 0.3935 0.3360  1 Mo 2.70, 7 Al 2.70-2.98
Al: 0.1591 0.1591 0.1149  2 Mo 2.67-2.68, 7 Al 2.71-2.91
Al: 0.8409 0.8409 0.8851  2 Mo 2.67-2.68, 7 Al 2.71-2.91
Al: 0.4940 0.2470 0.0000  6 Al 2.71-2.83
Al: 0.2536 0.2536 0.9699  9 Al 2.71-2.97, 1 Mo 2.82
Al: 0.2470 0.7530 0.5000  6 Al 2.71-2.83
Al: 0.1573 0.3935 0.1640  1 Mo 2.70, 7 Al 2.70-2.98
Al: 0.3935 0.1573 0.1640  1 Mo 2.70, 7 Al 2.70-2.98
Al: 0.2536 0.0000 0.4699  9 Al 2.71-2.97, 1 Mo 2.82
Al: 0.5511 0.1475 0.7500  1 Mo 2.65, 7 Al 2.73-2.82
Al: 0.2470 0.4940 0.5000  6 Al 2.71-2.83
Al: 0.8409 0.8409 0.6149  2 Mo 2.67-2.68, 7 Al 2.71-2.91
Al: 0.7464 0.0000 0.9699  9 Al 2.71-2.97, 1 Mo 2.82
Al: 0.8427 0.2362 0.3360  1 Mo 2.70, 7 Al 2.70-2.98
Al: 0.6065 0.8427 0.6640  1 Mo 2.70, 7 Al 2.70-2.98
Al: 0.2470 0.7530 0.0000  6 Al 2.71-2.83
Al: 0.1573 0.7638 0.6640  1 Mo 2.70, 7 Al 2.70-2.98
Al: 0.8427 0.6065 0.8360  1 Mo 2.70, 7 Al 2.70-2.98
Al: 0.8409 0.0000 0.3851  2 Mo 2.67-2.68, 7 Al 2.71-2.91
Al: 0.7464 0.7464 0.0301  9 Al 2.71-2.97, 1 Mo 2.82
Mo: 0.7294 0.7294 0.7500  10 Al 2.56-2.70
Tb: 0.4688 0.4688 0.0950  15 Al 3.05-3.40
Mo: 0.0000 0.7294 0.2500  10 Al 2.56-2.70
Al: 0.0000 0.7464 0.9699  9 Al 2.71-2.97, 1 Mo 2.82
Al: 0.3333 0.6667 0.6256  9 Al 2.70-2.82
Al: 0.6065 0.8427 0.8360  1 Mo 2.70, 7 Al 2.70-2.98
Al: 0.4489 0.5964 0.7500  1 Mo 2.65, 7 Al 2.73-2.82
Tb: 0.5312 0.0000 0.0950  15 Al 3.05-3.40
Al: 0.2362 0.8427 0.3360  1 Mo 2.70, 7 Al 2.70-2.98
Al: 0.8529 0.8529 0.2500  2 Mo 2.56, 6 Al 2.78-2.81
Al: 0.0000 0.2536 0.0301  9 Al 2.71-2.97, 1 Mo 2.82
Al: 0.6667 0.3333 0.6256  9 Al 2.70-2.82
Al: 0.2536 0.2536 0.5301  9 Al 2.71-2.97, 1 Mo 2.82
Al: 0.7638 0.1573 0.8360  1 Mo 2.70, 7 Al 2.70-2.98
Al: 0.3935 0.1573 0.3360  1 Mo 2.70, 7 Al 2.70-2.98
Tb: 0.5312 0.5312 0.9050  15 Al 3.05-3.40
Al: 0.6667 0.3333 0.1256  9 Al 2.70-2.82
Al: 0.8427 0.2362 0.1640  1 Mo 2.70, 7 Al 2.70-2.98
Al: 0.3333 0.6667 0.1256  9 Al 2.70-2.82
Al: 0.7638 0.1573 0.6640  1 Mo 2.70, 7 Al 2.70-2.98
Al: 0.4940 0.2470 0.5000  6 Al 2.71-2.83
Al: 0.5060 0.7530 0.5000  6 Al 2.71-2.83
Tb: 0.5312 0.5312 0.5950  15 Al 3.05-3.40
Tb: 0.0000 0.5312 0.0950  15 Al 3.05-3.40
Tb: 0.0000 0.4688 0.5950  15 Al 3.05-3.40
Mo: 0.2706 0.2706 0.2500  10 Al 2.56-2.70
Al: 0.1573 0.7638 0.8360  1 Mo 2.70, 7 Al 2.70-2.98
Al: 0.5964 0.4489 0.7500  1 Mo 2.65, 7 Al 2.73-2.82
Al: 0.1475 0.5964 0.2500  1 Mo 2.65, 7 Al 2.73-2.82
Al: 0.0000 0.7464 0.5301  9 Al 2.71-2.97, 1 Mo 2.82
Tb: 0.0000 0.5312 0.4050  15 Al 3.05-3.40
Al: 0.3333 0.6667 0.3744  9 Al 2.70-2.82
Al: 0.3333 0.6667 0.8744  9 Al 2.70-2.82
Al: 0.1471 0.1471 0.7500  2 Mo 2.56, 6 Al 2.78-2.81
Tb: 0.4688 0.0000 0.5950  15 Al 3.05-3.40
Al: 0.7464 0.7464 0.4699  9 Al 2.71-2.97, 1 Mo 2.82
Al: 0.7464 0.0000 0.5301  9 Al 2.71-2.97, 1 Mo 2.82
Al: 0.0000 0.8409 0.3851  2 Mo 2.67-2.68, 7 Al 2.71-2.91
Al: 0.8525 0.4036 0.7500  1 Mo 2.65, 7 Al 2.73-2.82
Mo: 0.7294 0.0000 0.2500  10 Al 2.56-2.70
Al: 0.6065 0.7638 0.1640  1 Mo 2.70, 7 Al 2.70-2.98
Al: 0.0000 0.1471 0.2500  2 Mo 2.56, 6 Al 2.78-2.81
Al: 0.1591 0.0000 0.8851  2 Mo 2.67-2.68, 7 Al 2.71-2.91
Al: 0.1471 0.0000 0.2500  2 Mo 2.56, 6 Al 2.78-2.81
Al: 0.7638 0.6065 0.1640  1 Mo 2.70, 7 Al 2.70-2.98
Al: 0.2362 0.8427 0.1640  1 Mo 2.70, 7 Al 2.70-2.98
Mo: 0.2706 0.0000 0.7500  10 Al 2.56-2.70
Al: 0.3935 0.2362 0.8360  1 Mo 2.70, 7 Al 2.70-2.98
Al: 0.0000 0.1591 0.6149  2 Mo 2.67-2.68, 7 Al 2.71-2.91
Al: 0.6667 0.3333 0.3744  9 Al 2.70-2.82
Al: 0.8529 0.0000 0.7500  2 Mo 2.56, 6 Al 2.78-2.81
Mo: 0.0000 0.0000 0.5000  12 Al 2.67-2.82
Al: 0.6065 0.7638 0.3360  1 Mo 2.70, 7 Al 2.70-2.98
Al: 0.5964 0.1475 0.2500  1 Mo 2.65, 7 Al 2.73-2.82
Al: 0.8525 0.4489 0.2500  1 Mo 2.65, 7 Al 2.73-2.82
Al: 0.1591 0.1591 0.3851  2 Mo 2.67-2.68, 7 Al 2.71-2.91

***

No. 3
Compound: AlTc2Mo
Source: Alexandria
Functional: GGA-PBEsol
Structure: relaxed

Output
symmetry = No. 10
crystal system = monoclinic

a b c (Å): 2.7061 4.2318 5.1126
angles (deg): 90.00 101.33 90.00
With the nearest neighbours (Å) after each atom.
Fractional positions:
Tc: 0.2055 0.0000 0.2429  4 Tc 2.51-2.79, 2 Mo 2.61, 2 Al 2.65
Al: 0.5000 0.5000 0.0000  2 Mo 2.65, 8 Tc 2.65-2.95, 2 Al 2.71
Mo: 0.0000 0.5000 0.5000  4 Tc 2.61, 2 Al 2.65, 2 Mo 2.71
Tc: 0.7945 0.0000 0.7571  4 Tc 2.51-2.79, 2 Mo 2.61, 2 Al 2.65

***

No. 4
Compound: AlTcMo
Source: Alexandria
Functional: GGA-PBEsol
Structure: relaxed

Output
symmetry = No. 216
distance to the lowest polymorph of the same formula = 0.826 eV/atom
crystal system = cubic

a b c (Å): 4.1831 4.1831 4.1831
angles (deg): 60.00 60.00 60.00
With the nearest neighbours (Å) after each atom.
Fractional positions:
Mo: 0.2500 0.2500 0.2500  4 Al 2.56, 4 Tc 2.56
Al: 0.5000 0.5000 0.5000  4 Mo 2.56
Tc: 0.0000 0.0000 0.0000  4 Mo 2.56

***

| no. | formation enthalpy at 0 K (meV per atom) |
| --- | --- |
| 1 | -195.3 |
| 2 | -317.7 |
| 3 | -94.6 |
| 4 | 511.8 |